Record 1
Below is Sb2PIr after structural relaxation, with properties calculated at the PBEsol level.

abc: 4.809 4.809 3.293
angles: 90.00 90.00 100.09
Fractional positions:
Sb: 0.000 0.500 0.000
Sb: 0.500 0.000 0.000
P: 0.000 0.000 0.500
Ir: 0.500 0.500 0.500

Values from the calculation:
raw formation energy	0.422	eV/atom
crystal system	orthorhombic
energy	-5.761	eV/atom

Record 2
Below is SbP4Ir after structural relaxation, with properties calculated at the PBEsol level.

abc: 5.097 5.097 5.097
angles: 60.00 60.00 60.00
Fractional positions:
Sb: 0.000 0.000 0.000
P: 0.135 0.622 0.622
P: 0.622 0.135 0.622
P: 0.622 0.622 0.135
P: 0.622 0.622 0.622
Ir: 0.250 0.250 0.250

Values from the calculation:
raw formation energy	0.830	eV/atom
crystal system	cubic
energy	-5.428	eV/atom

Record 3
Below is SiSb2PIr after structural relaxation, with properties calculated at the PBEsol level.

abc: 5.189 5.189 4.431
angles: 90.00 90.00 90.00
Fractional positions:
Si: 0.000 0.000 0.000
Sb: 0.000 0.500 0.500
Sb: 0.500 0.000 0.500
P: 0.500 0.500 0.000
Ir: 0.000 0.000 0.500

Values from the calculation:
raw formation energy	0.607	eV/atom
crystal system	tetragonal
energy	-5.488	eV/atom

Record 4
Below is Sc2PIr after structural relaxation, with properties calculated at the PBEsol level.

abc: 5.744 5.744 5.744
angles: 105.28 105.28 118.21
Fractional positions:
Sc: 0.125 0.625 0.000
Sc: 0.375 0.375 0.500
Sc: 0.625 0.125 0.000
Sc: 0.875 0.875 0.500
P: 0.000 0.000 0.000
P: 0.750 0.250 0.500
Ir: 0.250 0.750 0.500
Ir: 0.500 0.500 0.000

Values from the calculation:
calculated formation energy	-0.526	eV/atom
crystal system	tetragonal
energy	-7.732	eV/atom

Record 5
Below is Sc5P12Ir19 after structural relaxation, with properties calculated at the PBEsol level.

abc: 12.509 12.509 3.863
angles: 90.00 90.00 120.00
Fractional positions:
Sc: 0.000 0.819 0.000
Sc: 0.181 0.181 0.000
Sc: 0.333 0.667 0.500
Sc: 0.667 0.333 0.500
Sc: 0.819 0.000 0.000
P: 0.000 0.176 0.500
P: 0.000 0.646 0.500
P: 0.171 0.485 0.000
P: 0.176 0.000 0.500
P: 0.313 0.829 0.000
P: 0.354 0.354 0.500
P: 0.485 0.171 0.000
P: 0.515 0.687 0.000
P: 0.646 0.000 0.500
P: 0.687 0.515 0.000
P: 0.824 0.824 0.500
P: 0.829 0.313 0.000
Ir: 0.000 0.000 0.500
Ir: 0.000 0.285 0.000
Ir: 0.000 0.464 0.500
Ir: 0.135 0.641 0.000
Ir: 0.181 0.373 0.500
Ir: 0.192 0.819 0.500
Ir: 0.285 0.000 0.000
Ir: 0.359 0.494 0.000
Ir: 0.373 0.181 0.500
Ir: 0.464 0.000 0.500
Ir: 0.494 0.359 0.000
Ir: 0.506 0.865 0.000
Ir: 0.536 0.536 0.500
Ir: 0.627 0.808 0.500
Ir: 0.641 0.135 0.000
Ir: 0.715 0.715 0.000
Ir: 0.808 0.627 0.500
Ir: 0.819 0.192 0.500
Ir: 0.865 0.506 0.000

Values from the calculation:
calculated formation energy	-0.772	eV/atom
crystal system	hexagonal
energy	-8.805	eV/atom

Record 6
Below is Sc2PIr after structural relaxation, with properties calculated at the PBEsol level.

abc: 8.660 8.660 8.660
angles: 22.94 22.94 22.94
Fractional positions:
Sc: 0.101 0.101 0.101
Sc: 0.899 0.899 0.899
P: 0.000 0.000 0.000
Ir: 0.500 0.500 0.500

Values from the calculation:
calculated formation energy	-0.138	eV/atom
crystal system	trigonal
energy	-7.345	eV/atom

Record 7
Below is SiP2Ir after structural relaxation, with properties calculated at the PBEsol level.

abc: 2.877 2.877 6.560
angles: 90.00 90.00 90.00
Fractional positions:
Si: 0.000 0.000 0.000
P: 0.500 0.500 0.257
P: 0.500 0.500 0.743
Ir: 0.000 0.000 0.500

Values from the calculation:
offset from the most stable computed form	471.2	meV/atom
raw formation energy	0.205	eV/atom
crystal system	tetragonal
energy	-6.583	eV/atom

Record 8
Below is SiP2Ir after structural relaxation, with properties calculated at the PBEsol level.

abc: 5.798 5.798 5.798
angles: 152.24 139.57 49.76
Fractional positions:
Si: 0.000 0.000 0.000
P: 0.411 0.411 0.000
P: 0.744 0.244 0.500
Ir: 0.197 0.697 0.500

Values from the calculation:
offset from the most stable computed form	452.6	meV/atom
raw formation energy	0.187	eV/atom
crystal system	orthorhombic
energy	-6.602	eV/atom

Record 9
Below is SiP2Ir after structural relaxation, with properties calculated at the PBEsol level.

abc: 6.411 6.411 6.411
angles: 132.06 132.06 70.13
Fractional positions:
Si: 0.000 0.000 0.000
Si: 0.750 0.250 0.500
P: 0.127 0.625 0.002
P: 0.375 0.377 0.502
P: 0.623 0.125 0.998
P: 0.875 0.873 0.498
Ir: 0.250 0.750 0.500
Ir: 0.500 0.500 0.000

Values from the calculation:
offset from the most stable computed form	31.8	meV/atom
raw formation energy	-0.234	eV/atom
crystal system	tetragonal
energy	-7.022	eV/atom

Record 10
Below is SiP2Ir after structural relaxation, with properties calculated at the PBEsol level.

abc: 2.774 5.195 5.195
angles: 52.77 90.00 90.00
Fractional positions:
Si: 0.000 0.000 0.000
P: 0.000 0.429 0.429
P: 0.500 0.777 0.777
Ir: 0.500 0.222 0.222

Values from the calculation:
offset from the most stable computed form	0.0	meV/atom
raw formation energy	-0.266	eV/atom
crystal system	orthorhombic
energy	-7.054	eV/atom

Record 11
Below is Si3P3Ir after structural relaxation, with properties calculated at the PBEsol level.

abc: 4.892 4.907 5.460
angles: 108.76 107.97 95.29
Fractional positions:
Si: 0.000 0.000 0.000
Si: 0.125 0.557 0.799
Si: 0.307 0.749 0.525
P: 0.420 0.317 0.310
P: 0.560 0.450 0.009
P: 0.871 0.866 0.315
Ir: 0.709 0.157 0.658

Values from the calculation:
raw formation energy	-0.404	eV/atom
crystal system	triclinic
energy	-6.752	eV/atom

Record 12
Below is SmP2Ir2 after structural relaxation, with properties calculated at the PBEsol level.

abc: 4.103 4.103 9.534
angles: 90.00 90.00 90.00
Fractional positions:
Sm: 0.250 0.250 0.243
Sm: 0.750 0.750 0.757
P: 0.250 0.250 0.640
P: 0.250 0.750 0.000
P: 0.750 0.250 0.000
P: 0.750 0.750 0.360
Ir: 0.250 0.250 0.885
Ir: 0.250 0.750 0.500
Ir: 0.750 0.250 0.500
Ir: 0.750 0.750 0.115

Values from the calculation:
calculated formation energy	-1.063	eV/atom
crystal system	tetragonal
energy	-8.328	eV/atom

Record 13
Below is SrP2Ir after structural relaxation, with properties calculated at the PBEsol level.

abc: 5.313 5.313 5.313
angles: 136.31 136.31 63.50
Fractional positions:
Sr: 0.000 0.000 0.000
P: 0.500 0.500 0.000
P: 0.750 0.250 0.500
Ir: 0.250 0.750 0.500

Values from the calculation:
calculated formation energy	0.218	eV/atom
crystal system	tetragonal
energy	-5.593	eV/atom

Record 14
Below is Sr2PIr after structural relaxation, with properties calculated at the PBEsol level.

abc: 4.306 4.306 6.057
angles: 90.00 90.00 90.00
Fractional positions:
Sr: 0.000 0.000 0.000
Sr: 0.500 0.500 0.500
P: 0.000 0.000 0.500
Ir: 0.500 0.500 0.000

Values from the calculation:
calculated formation energy	0.148	eV/atom
crystal system	tetragonal
energy	-4.676	eV/atom

Record 15
Below is Sr2PIr after structural relaxation, with properties calculated at the PBEsol level.

abc: 4.357 5.527 5.527
angles: 49.86 90.00 90.00
Fractional positions:
Sr: 0.000 0.000 0.000
Sr: 0.500 0.297 0.297
P: 0.500 0.610 0.610
Ir: 0.000 0.689 0.689

Values from the calculation:
calculated formation energy	-0.682	eV/atom
crystal system	orthorhombic
energy	-5.506	eV/atom

Record 16
Below is Sr2PIr after structural relaxation, with properties calculated at the PBEsol level.

abc: 8.427 8.427 8.427
angles: 28.16 28.16 28.16
Fractional positions:
Sr: 0.000 0.000 0.000
Sr: 0.169 0.169 0.169
P: 0.418 0.418 0.418
Ir: 0.751 0.751 0.751

Values from the calculation:
calculated formation energy	-0.684	eV/atom
crystal system	trigonal
energy	-5.508	eV/atom

Record 17
Below is SrPIr2 after structural relaxation, with properties calculated at the PBEsol level.

abc: 2.769 4.934 5.670
angles: 115.54 103.96 90.01
Fractional positions:
Sr: 0.000 0.000 0.000
P: 0.500 0.500 0.000
Ir: 0.000 0.000 0.500
Ir: 0.500 0.500 0.500

Values from the calculation:
calculated formation energy	0.322	eV/atom
crystal system	triclinic
energy	-6.498	eV/atom

Record 18
Below is TaPIr3 after structural relaxation, with properties calculated at the PBEsol level.

abc: 4.710 4.710 4.710
angles: 90.00 90.00 90.00
Fractional positions:
Ta: 0.000 0.000 0.000
P: 0.500 0.500 0.500
Ir: 0.000 0.000 0.500
Ir: 0.000 0.500 0.000
Ir: 0.500 0.000 0.000

Values from the calculation:
calculated formation energy	1.969	eV/atom
crystal system	cubic
energy	-7.593	eV/atom

Record 19
Below is TaP2Ir after structural relaxation, with properties calculated at the PBEsol level.

abc: 7.928 7.928 7.928
angles: 21.18 21.18 21.18
Fractional positions:
Ta: 0.000 0.000 0.000
P: 0.246 0.246 0.246
P: 0.754 0.754 0.754
Ir: 0.500 0.500 0.500

Values from the calculation:
calculated formation energy	-0.116	eV/atom
offset from the most stable computed form	232.2	meV/atom
crystal system	trigonal
energy	-8.606	eV/atom

Record 20
Below is TaP2Ir after structural relaxation, with properties calculated at the PBEsol level.

abc: 4.260 4.260 4.260
angles: 60.00 60.00 60.00
Fractional positions:
Ta: 0.000 0.000 0.000
P: 0.250 0.250 0.250
P: 0.750 0.750 0.750
Ir: 0.500 0.500 0.500

Values from the calculation:
calculated formation energy	-0.349	eV/atom
offset from the most stable computed form	0.0	meV/atom
crystal system	cubic
energy	-8.838	eV/atom